# 1
Computed, not measured: crystalline CeTmPuOs at its relaxed geometry at the PBE level of DFT.

**ΔE_f**: 0.09 eV/atom
**D(E_F)**: 2.339 states/eV per atom
**Uncorrected energy**: -0.327 hartree per atom
**M_tot**: 6.89 μB/f.u.

Cell and atoms, written as POSCAR:
```
CeTmPuOs
1.0
0.0000 3.5462 3.5462
3.5462 0.0000 3.5462
3.5462 3.5462 0.0000
Ce Tm Pu Os
1 1 1 1
Cartesian
0.0000 0.0000 0.0000
3.5462 3.5462 3.5462
1.7731 1.7731 1.7731
5.3192 5.3192 5.3192
```


# 2
Computed, not measured: crystalline Sc4GeH at its relaxed geometry at the PBE level of DFT.

**D(E_F)**: 1.089 states/eV per atom
**Uncorrected energy**: -0.217 hartree per atom
**M_tot**: 0.00 μB/f.u.

Cell and atoms, written as POSCAR:
```
Sc4GeH
1.0
3.6436 -6.9708 0.0000
3.6436 6.9708 0.0000
-3.0731 0.0000 4.4841
Sc Ge H
8 2 2
Cartesian
-0.0688 3.9333 3.8209
-0.2677 0.8553 2.9128
1.2688 -0.8553 0.6708
2.7464 3.9333 2.9053
1.4677 -3.9333 1.5789
2.9453 0.8553 3.8133
4.4818 -0.8553 1.5713
4.2829 -3.9333 0.6632
2.8753 1.4731 1.1210
1.3388 -1.4731 3.3631
2.8753 6.8285 1.1210
1.3388 -6.8285 3.3631
```


# 3
Computed, not measured: crystalline Nd5NbN6 at its relaxed geometry at the PBE level of DFT.

**D(E_F)**: 0.208 states/eV per atom
**Uncorrected energy**: -0.304 hartree per atom
**E_form (uncorrected)**: -15.3 eV/f.u.
**M_tot**: 0.00 μB/f.u.

Cell and atoms, written as POSCAR:
```
Nd5NbN6
1.0
3.0759 -5.3176 0.0000
3.0759 5.3176 0.0000
-2.0472 0.0000 5.7708
Nd Nb N
5 1 6
Cartesian
0.0000 0.0000 0.0000
2.0523 3.5415 2.8854
3.0759 1.7478 0.0000
3.0759 -1.7478 0.0000
2.0523 -3.5415 2.8854
2.0523 0.0000 2.8854
1.1263 1.5939 1.5794
0.1803 0.0000 4.2441
1.1263 -1.5939 1.5794
2.9783 1.5939 4.1914
3.9243 0.0000 1.5268
2.9783 -1.5939 4.1914
```


What is the formula in the second record? Sc4GeH


The lowest uncorrected energy belongs to which entry? CeTmPuOs


Which formula does entry 3 have? Nd5NbN6